Here is a PBEsol-optimized structure of ZrAl2Au from the Alexandria database. Energies are from meta-GGA SCAN.

Structure (POSCAR):
```
ZrAl2Au
1.0
-3.503 0.764 1.640
-1.243 -3.878 -0.848
1.449 -1.270 3.687
Au Al Zr
1 2 1
Cartesian
-1.649 -2.192 2.239
0.724 -0.635 1.843
-0.621 -1.939 -0.424
-1.752 0.382 0.820
```

Formation energy ... -16.9 kcal/mol of atoms
Space group ... P4/mmm (123)
Magnetization ... 0.000 Bohr magnetons per cell